Compound: Si2GePd2
Source: the Alexandria database
Functional: PBE-GGA
Structure: relaxed

The space group is P4/mbm (No. 127) and the conventional cell measures 7.553, 7.553 and 2.775 Å, with angles of 90.00, 90.00 and 90.00 degrees. The asymmetric unit holds Si at (0.158, 0.342, 0.000), Ge at (0.000, 0.000, 0.000) and Pd at (0.134, 0.634, 0.500).

The density of states at the Fermi level is 3.88 states/eV/cell. The formation energy from raw total energies comes out at -2.90 kcal/mol of atoms. The distance to the lowest polymorph of the same formula comes out at 27.0 meV per atom. The crystal system is tetragonal. The value obtained for the total magnetization is 0.00 μB/f.u. The calculated total energy is -5.2957 eV per atom.